{"formula": "HoLuB4", "functional": "GGA-PBE", "state": "relaxed", "density_g_cm3": 8.7, "space_group": "F-43m (216)", "e_tot_ev_per_atom": -5.702, "e_form_ev_per_atom": 0.27, "lattice_angstrom": [[-2.988, 2.748, 2.361], [-0.058, -0.085, 4.696], [1.615, 3.677, 2.435]], "species": ["B", "B", "B", "B", "Ho", "Lu"], "frac_coords": [[0.655, 0.034, 0.655], [0.655, 0.655, 0.655], [0.655, 0.655, 0.034], [0.034, 0.655, 0.655], [0.250, 0.250, 0.250], [0.000, 0.000, 0.000]]}

---

{"formula": "HoMgB12", "functional": "GGA-PBE", "state": "relaxed", "density_g_cm3": 3.8, "space_group": "P4/mmm (123)", "e_tot_ev_per_atom": -6.356, "e_form_ev_per_atom": -0.19, "lattice_angstrom": [[-1.776, -3.143, 1.933], [2.074, -2.625, -2.363], [6.128, -0.092, 5.481]], "species": ["Ho", "B", "B", "B", "B", "B", "B", "B", "B", "B", "B", "B", "B", "Mg"], "frac_coords": [[0.000, 0.000, 0.000], [0.800, 0.500, 0.249], [0.200, 0.500, 0.249], [0.500, 0.500, 0.901], [0.500, 0.200, 0.249], [0.500, 0.500, 0.400], [0.800, 0.500, 0.751], [0.500, 0.200, 0.751], [0.200, 0.500, 0.751], [0.500, 0.800, 0.249], [0.500, 0.500, 0.600], [0.500, 0.800, 0.751], [0.500, 0.500, 0.099], [0.000, 0.000, 0.500]]}

---

{"formula": "HoMgB4", "functional": "GGA-PBE", "state": "relaxed", "density_g_cm3": 5.9, "space_group": "I-4m2 (119)", "e_tot_ev_per_atom": -5.636, "e_form_ev_per_atom": -0.16, "lattice_angstrom": [[3.271, 0.000, -1.010], [-0.312, 3.256, -1.010], [0.080, 0.088, 6.062]], "species": ["B", "B", "B", "B", "Ho", "Mg"], "frac_coords": [[0.587, 0.587, 0.173], [0.672, 0.172, 0.344], [0.413, 0.413, 0.827], [0.828, 0.328, 0.656], [0.000, 0.000, 0.000], [0.250, 0.750, 0.500]]}

---

{"formula": "HoMgB", "functional": "GGA-PBE", "state": "relaxed", "density_g_cm3": 5.8, "space_group": "Cmcm (63)", "e_tot_ev_per_atom": -4.589, "e_form_ev_per_atom": -0.31, "lattice_angstrom": [[3.210, 0.000, 0.000], [0.000, 3.531, 0.000], [0.000, 1.765, 10.131]], "species": ["Mg", "Mg", "Ho", "Ho", "B", "B"], "frac_coords": [[0.250, 0.701, 0.598], [0.750, 0.299, 0.402], [0.250, 0.921, 0.157], [0.750, 0.079, 0.843], [0.750, 0.485, 0.031], [0.250, 0.515, 0.969]]}

---

{"formula": "HoMgB5O10", "functional": "GGA-PBE", "state": "relaxed", "density_g_cm3": 4.3, "space_group": "P2_1/c (14)", "e_tot_ev_per_atom": -7.938, "e_form_raw_kj_per_mol_atoms": -260, "lattice_angstrom": [[7.646, 0.000, 0.000], [0.000, 8.602, 0.000], [0.000, 0.596, 9.397]], "species": ["O", "O", "O", "O", "O", "O", "O", "O", "O", "O", "O", "O", "O", "O", "O", "O", "O", "O", "O", "O", "O", "O", "O", "O", "O", "O", "O", "O", "O", "O", "O", "O", "O", "O", "O", "O", "O", "O", "O", "O", "B", "B", "B", "B", "B", "B", "B", "B", "B", "B", "B", "B", "B", "B", "B", "B", "B", "B", "B", "B", "Ho", "Ho", "Ho", "Ho", "Mg", "Mg", "Mg", "Mg"], "frac_coords": [[0.125, 0.680, 0.991], [0.151, 0.993, 0.427], [0.350, 0.818, 0.638], [0.651, 0.507, 0.073], [0.052, 0.255, 0.628], [0.032, 0.314, 0.376], [0.470, 0.414, 0.351], [0.530, 0.586, 0.649], [0.552, 0.245, 0.872], [0.707, 0.964, 0.227], [0.091, 0.510, 0.801], [0.731, 0.049, 0.977], [0.468, 0.814, 0.876], [0.769, 0.549, 0.477], [0.293, 0.036, 0.773], [0.448, 0.755, 0.128], [0.793, 0.464, 0.727], [0.968, 0.686, 0.624], [0.030, 0.914, 0.851], [0.609, 0.324, 0.580], [0.850, 0.682, 0.862], [0.269, 0.951, 0.023], [0.207, 0.536, 0.273], [0.532, 0.186, 0.124], [0.409, 0.010, 0.301], [0.109, 0.176, 0.920], [0.150, 0.318, 0.138], [0.875, 0.320, 0.009], [0.391, 0.676, 0.420], [0.909, 0.490, 0.199], [0.349, 0.493, 0.927], [0.650, 0.182, 0.362], [0.948, 0.745, 0.372], [0.625, 0.820, 0.509], [0.591, 0.990, 0.699], [0.375, 0.180, 0.491], [0.891, 0.824, 0.080], [0.849, 0.007, 0.573], [0.970, 0.086, 0.149], [0.231, 0.451, 0.523], [0.899, 0.661, 0.492], [0.925, 0.584, 0.755], [0.468, 0.723, 0.556], [0.032, 0.223, 0.056], [0.575, 0.084, 0.255], [0.826, 0.983, 0.102], [0.674, 0.483, 0.602], [0.188, 0.565, 0.911], [0.399, 0.839, 0.008], [0.312, 0.065, 0.411], [0.075, 0.416, 0.245], [0.532, 0.277, 0.444], [0.101, 0.339, 0.508], [0.174, 0.017, 0.898], [0.601, 0.161, 0.992], [0.326, 0.517, 0.398], [0.688, 0.935, 0.589], [0.425, 0.916, 0.745], [0.812, 0.435, 0.089], [0.968, 0.777, 0.944], [0.310, 0.313, 0.743], [0.190, 0.813, 0.243], [0.810, 0.187, 0.757], [0.690, 0.687, 0.257], [0.592, 0.600, 0.871], [0.908, 0.100, 0.371], [0.408, 0.400, 0.129], [0.092, 0.900, 0.629]]}

---

{"formula": "Ho2MgB2Rh5", "functional": "GGA-PBE", "state": "relaxed", "density_g_cm3": 10.1, "space_group": "P4/mbm (127)", "e_tot_ev_per_atom": -6.873, "e_form_ev_per_atom": -0.79, "lattice_angstrom": [[3.181, 0.000, 0.000], [0.000, 9.609, 0.000], [0.000, 0.000, 9.609]], "species": ["Mg", "Mg", "Rh", "Rh", "Rh", "Rh", "Rh", "Rh", "Rh", "Rh", "Rh", "Rh", "B", "B", "B", "B", "Ho", "Ho", "Ho", "Ho"], "frac_coords": [[0.000, 0.500, 0.500], [0.000, 0.000, 0.000], [0.500, 0.724, 0.430], [0.500, 0.276, 0.570], [0.500, 0.430, 0.276], [0.500, 0.000, 0.500], [0.500, 0.776, 0.930], [0.500, 0.570, 0.724], [0.500, 0.224, 0.070], [0.500, 0.930, 0.224], [0.500, 0.070, 0.776], [0.500, 0.500, 0.000], [0.000, 0.377, 0.123], [0.000, 0.123, 0.623], [0.000, 0.623, 0.877], [0.000, 0.877, 0.377], [0.000, 0.824, 0.676], [0.000, 0.324, 0.824], [0.000, 0.176, 0.324], [0.000, 0.676, 0.176]]}

---

{"formula": "Ho2MgB2Ru5", "functional": "GGA-PBE", "state": "relaxed", "density_g_cm3": 10.0, "space_group": "P4/mbm (127)", "e_tot_ev_per_atom": -7.402, "e_form_ev_per_atom": -0.35, "lattice_angstrom": [[3.138, 0.000, 0.000], [0.000, 9.667, 0.000], [0.000, 0.000, 9.667]], "species": ["B", "B", "B", "B", "Ru", "Ru", "Ru", "Ru", "Ru", "Ru", "Ru", "Ru", "Ru", "Ru", "Ho", "Ho", "Ho", "Ho", "Mg", "Mg"], "frac_coords": [[0.000, 0.876, 0.376], [0.000, 0.124, 0.624], [0.000, 0.624, 0.876], [0.000, 0.376, 0.124], [0.500, 0.000, 0.500], [0.500, 0.724, 0.430], [0.500, 0.930, 0.224], [0.500, 0.070, 0.776], [0.500, 0.224, 0.070], [0.500, 0.276, 0.570], [0.500, 0.776, 0.930], [0.500, 0.570, 0.724], [0.500, 0.430, 0.276], [0.500, 0.500, 0.000], [0.000, 0.676, 0.176], [0.000, 0.324, 0.824], [0.000, 0.824, 0.676], [0.000, 0.176, 0.324], [0.000, 0.500, 0.500], [0.000, 0.000, 0.000]]}

---

{"formula": "HoMnB14", "functional": "GGA-PBE", "state": "relaxed", "density_g_cm3": 4.8, "space_group": "Imma (74)", "e_tot_ev_per_atom": -6.872, "e_form_ev_per_atom": -0.17, "lattice_angstrom": [[5.348, 0.000, 2.380], [2.000, 6.534, 2.705], [-0.067, 0.064, 7.349]], "species": ["B", "B", "B", "B", "B", "B", "B", "B", "B", "B", "B", "B", "B", "B", "B", "B", "B", "B", "B", "B", "B", "B", "B", "B", "B", "B", "B", "B", "Ho", "Ho", "Mn", "Mn"], "frac_coords": [[0.098, 0.224, 0.901], [0.598, 0.401, 0.724], [0.330, 0.375, 0.469], [0.674, 0.031, 0.125], [0.222, 0.776, 0.099], [0.722, 0.599, 0.276], [0.670, 0.625, 0.531], [0.170, 0.031, 0.125], [0.333, 0.635, 0.699], [0.833, 0.199, 0.135], [0.830, 0.969, 0.875], [0.902, 0.776, 0.099], [0.402, 0.599, 0.276], [0.084, 0.086, 0.745], [0.584, 0.245, 0.586], [0.916, 0.914, 0.255], [0.278, 0.401, 0.724], [0.667, 0.365, 0.301], [0.416, 0.755, 0.414], [0.370, 0.001, 0.259], [0.167, 0.801, 0.865], [0.326, 0.969, 0.875], [0.130, 0.241, 0.499], [0.778, 0.224, 0.901], [0.174, 0.625, 0.531], [0.826, 0.375, 0.469], [0.870, 0.759, 0.501], [0.630, 0.999, 0.741], [0.250, 0.378, 0.122], [0.750, 0.622, 0.878], [0.000, 0.000, 0.500], [0.500, 0.000, 0.500]]}

---

{"formula": "Ho2Mn17B2", "functional": "GGA-PBE", "state": "relaxed", "density_g_cm3": 8.1, "space_group": "C2/m (12)", "e_tot_ev_per_atom": -8.540, "e_form_ev_per_atom": -0.04, "lattice_angstrom": [[6.406, -0.006, 0.701], [0.635, 6.372, 0.672], [-0.002, 0.068, 6.439]], "species": ["B", "B", "Mn", "Mn", "Mn", "Mn", "Mn", "Mn", "Mn", "Mn", "Mn", "Mn", "Mn", "Mn", "Mn", "Mn", "Mn", "Mn", "Mn", "Ho", "Ho"], "frac_coords": [[0.500, 0.500, 0.000], [0.500, 0.000, 0.500], [0.000, 0.724, 0.276], [0.272, 0.724, 0.994], [0.728, 0.006, 0.276], [0.899, 0.894, 0.894], [0.272, 0.994, 0.724], [0.500, 0.000, 0.000], [0.867, 0.349, 0.349], [0.664, 0.142, 0.667], [0.728, 0.276, 0.006], [0.336, 0.333, 0.858], [0.336, 0.858, 0.333], [0.000, 0.000, 0.500], [0.101, 0.106, 0.106], [0.133, 0.651, 0.651], [0.000, 0.276, 0.724], [0.000, 0.500, 0.000], [0.664, 0.667, 0.142], [0.655, 0.643, 0.643], [0.345, 0.357, 0.357]]}

---

{"formula": "Ho3Mn2B9", "functional": "GGA-PBE", "state": "relaxed", "density_g_cm3": 7.5, "space_group": "Immm (71)", "e_tot_ev_per_atom": -6.880, "e_form_ev_per_atom": -0.30, "lattice_angstrom": [[-0.592, 2.161, 2.169], [-2.471, -4.361, 5.913], [4.766, -2.179, 5.712]], "species": ["B", "B", "B", "B", "B", "B", "B", "B", "B", "Ho", "Ho", "Ho", "Mn", "Mn"], "frac_coords": [[0.119, 0.609, 0.153], [0.000, 0.500, 0.500], [0.881, 0.391, 0.847], [0.630, 0.681, 0.059], [0.370, 0.319, 0.941], [0.881, 0.847, 0.391], [0.119, 0.153, 0.609], [0.630, 0.059, 0.681], [0.370, 0.941, 0.319], [0.000, 0.000, 0.000], [0.735, 0.265, 0.265], [0.265, 0.735, 0.735], [0.500, 0.668, 0.332], [0.500, 0.332, 0.668]]}

---

{"formula": "HoMn3B3", "functional": "GGA-PBE", "state": "relaxed", "density_g_cm3": 8.0, "space_group": "P6_3/m (176)", "e_tot_ev_per_atom": -7.598, "e_form_ev_per_atom": -0.15, "lattice_angstrom": [[-0.314, -0.520, 2.934], [-5.920, -4.562, -1.442], [7.046, -2.871, 0.244]], "species": ["Mn", "Mn", "Mn", "Mn", "Mn", "Mn", "B", "B", "B", "B", "B", "B", "Ho", "Ho"], "frac_coords": [[0.750, 0.933, 0.698], [0.750, 0.765, 0.067], [0.250, 0.698, 0.765], [0.250, 0.235, 0.933], [0.750, 0.302, 0.235], [0.250, 0.067, 0.302], [0.750, 0.577, 0.541], [0.750, 0.964, 0.423], [0.250, 0.423, 0.459], [0.750, 0.459, 0.036], [0.250, 0.036, 0.577], [0.250, 0.541, 0.964], [0.250, 0.667, 0.333], [0.750, 0.333, 0.667]]}

---

{"formula": "HoMn2B4", "functional": "GGA-PBE", "state": "relaxed", "density_g_cm3": 7.5, "space_group": "Immm (71)", "e_tot_ev_per_atom": -7.481, "e_form_ev_per_atom": -0.39, "lattice_angstrom": [[2.982, 0.000, -0.680], [-0.169, 3.167, -0.740], [0.120, 0.061, 7.403]], "species": ["Ho", "B", "B", "B", "B", "Mn", "Mn"], "frac_coords": [[0.500, 0.000, 0.000], [0.097, 0.597, 0.194], [0.903, 0.403, 0.806], [0.347, 0.347, 0.693], [0.653, 0.653, 0.307], [0.192, 0.192, 0.384], [0.808, 0.808, 0.616]]}